Entry i
A relaxed structure of PmNd4Pb5, computed with PBE.

The structure in POSCAR format:
```
PmNd4Pb5
1.0
3.6018 0.0000 0.0000
0.0000 3.6018 0.0000
0.0000 0.0000 23.1585
Pm Nd Pb
1 4 5
Direct
0.0000 0.0000 0.0000
0.0000 0.0000 0.1994
0.0000 0.0000 0.3998
0.0000 0.0000 0.6002
0.0000 0.0000 0.8006
0.5000 0.5000 0.0991
0.5000 0.5000 0.2996
0.5000 0.5000 0.5000
0.5000 0.5000 0.7004
0.5000 0.5000 0.9009
```

Total moment = 0.0 μB per cell
Symmetry = P4/mmm
DOS(E_F) = 0.90 states/eV/atom


Entry ii
A relaxed structure of PmNd4Pb5, computed with PBE.

The structure in POSCAR format:
```
PmNd4Pb5
1.0
-5.1191 5.1191 3.2323
5.1191 -5.1191 3.2323
5.1191 5.1191 -3.2323
Pm Nd Pb
1 4 5
Direct
0.0000 0.0000 0.0000
0.2017 0.4026 0.6005
0.4026 0.8022 0.2009
0.6012 0.2017 0.7991
0.8022 0.6012 0.3995
0.1021 0.7034 0.8013
0.3008 0.1021 0.3986
0.4996 0.4996 0.0000
0.7034 0.9021 0.6014
0.9021 0.3008 0.1987
```

Total moment = 0.0 μB per cell
Symmetry = I4
DOS(E_F) = 0.87 states/eV/atom


It turns out entry i is the most stable, with the second structure 96 meV/atom higher.


Entry i
A relaxed structure of PmNd2Pb2, computed with PBE.

The structure in POSCAR format:
```
PmNd2Pb2
1.0
-4.4356 6.1043 3.2585
4.4356 -6.1043 3.2585
4.4356 6.1043 -3.2585
Pm Nd Pb
2 4 4
Direct
0.2500 0.2500 0.0000
0.7500 0.7500 0.0000
0.1432 0.6393 0.7825
0.3568 0.1393 0.4962
0.6432 0.8607 0.5038
0.8568 0.3607 0.2175
0.1178 0.2769 0.3946
0.3822 0.7769 0.1591
0.6178 0.2231 0.8409
0.8822 0.7231 0.6054
```

Total moment = 2.2 μB per cell
Symmetry = Ibam
DOS(E_F) = 0.72 states/eV/atom


Entry ii
A relaxed structure of PmNd2Pb2, computed with PBE.

The structure in POSCAR format:
```
PmNd2Pb2
1.0
5.2659 0.0000 0.0000
-2.6329 4.5604 0.0000
0.0000 0.0000 13.3503
Pm Nd Pb
2 4 4
Direct
0.0000 0.0000 0.2500
0.0000 0.0000 0.7500
0.0000 0.0000 0.0000
0.0000 0.0000 0.5000
0.3333 0.6667 0.2500
0.6667 0.3333 0.7500
0.3333 0.6667 0.6231
0.3333 0.6667 0.8769
0.6667 0.3333 0.1231
0.6667 0.3333 0.3769
```

Total moment = 0.0 μB per cell
Symmetry = P6_3/mmc
DOS(E_F) = 0.93 states/eV/atom


It turns out entry i is the most stable, with the second structure 156 meV/atom higher.


Entry i
A relaxed structure of Pm3NdPb2, computed with PBE.

The structure in POSCAR format:
```
Pm3NdPb2
1.0
4.6624 0.0000 0.0000
0.0000 4.6624 0.0000
0.0000 0.0000 8.9154
Pm Nd Pb
3 1 2
Direct
0.0000 0.0000 0.0000
0.0000 0.5000 0.6525
0.5000 0.0000 0.3475
0.5000 0.5000 0.0000
0.0000 0.5000 0.2852
0.5000 0.0000 0.7148
```

Total moment = 0.0 μB per cell
Symmetry = P-4m2
DOS(E_F) = 1.13 states/eV/atom


Entry ii
A relaxed structure of Pm3NdPb2, computed with PBE.

The structure in POSCAR format:
```
Pm3NdPb2
1.0
-3.8290 7.4792 3.8539
3.8290 -7.4792 3.8539
3.8290 7.4792 -3.8539
Pm Nd Pb
6 2 4
Direct
0.0383 0.7500 0.2883
0.2500 0.2500 0.0000
0.4617 0.7500 0.7117
0.5383 0.2500 0.2883
0.7500 0.7500 0.0000
0.9617 0.2500 0.7117
0.0000 0.5000 0.5000
0.5000 0.0000 0.5000
0.1421 0.1839 0.3259
0.3579 0.6839 0.0418
0.6421 0.3161 0.9582
0.8579 0.8161 0.6741
```

Total moment = 0.0 μB per cell
Symmetry = Ibam
DOS(E_F) = 1.37 states/eV/atom


It turns out entry i is the most stable, with the second structure 243 meV/atom higher.